# CsFeI2O

CsFeI2O after structural relaxation (GGA+U, Alexandria via LeMat-Bulk).

Results
Crystal system   tetragonal
Space group   P4/mmm (123)
Size of the total moment   4.62 μB per formula unit
Total DFT energy (no corrections)   -12.01 eV for the cell shown

Cell: 6.9693 6.9693 4.4047 Å, 90.00 90.00 90.00°
Last column: nearest neighbours and their distance in Å.
Element x y z (fractional)
1 Cs 0.0000 0.0000 0.0000  2 O 2.20
2 I 0.0000 0.5000 0.0000  2 Cs 3.48
3 I 0.5000 0.0000 0.0000  2 Cs 3.48
4 Fe 0.5000 0.5000 0.5000  8 I 4.12, 2 Fe 4.40
5 O 0.0000 0.0000 0.5000  2 Cs 2.20